Entry 1:
This record from Alexandria describes a geometry-optimized MnCrNi2 structure. The functional is PBE.

## Properties
Crystal system ... cubic
Energy of formation ... 78 kJ/mol of formula units
Spin magnetization ... 4.5 μB/f.u.

The structure in extended XYZ format:
```
4
Lattice="0.0000 2.8668 2.8668 2.8668 0.0000 2.8668 2.8668 2.8668 0.0000" Properties=species:S:1:pos:R:3 pbc="T T T"
Ni 1.4334 1.4334 1.4334
Ni 4.3001 4.3001 4.3001
Mn 2.8668 2.8668 2.8668
Cr 0.0000 0.0000 0.0000
```



Entry 2:
This record from Alexandria describes a geometry-optimized Mn3CrNi structure. The functional is PBE.

## Properties
Crystal system ... cubic
Energy of formation ... 649 kJ/mol of formula units
Spin magnetization ... 12.8 μB/f.u.

The structure in extended XYZ format:
```
5
Lattice="-3.4138 2.5178 1.1724 -2.7462 -3.3376 -0.8285 0.4151 -1.3743 4.1601" Properties=species:S:1:pos:R:3 pbc="T T T"
Ni 0.0000 0.0000 0.0000
Mn -1.3731 -1.6688 -0.4143
Mn 0.2076 -0.6872 2.0801
Mn -1.7069 1.2589 0.5862
Cr -2.8724 -1.0970 2.2520
```



Entry 3:
This record from Alexandria describes a geometry-optimized MnCrNi2 structure. The functional is PBE.

## Properties
Crystal system ... tetragonal
Energy of formation ... -21 kJ/mol of formula units
Spin magnetization ... 1.3 μB/f.u.

The structure in extended XYZ format:
```
4
Lattice="4.4610 -0.0714 -0.0200 1.7498 4.1042 0.0200 -3.0941 -2.0339 2.4893" Properties=species:S:1:pos:R:3 pbc="T T T"
Cr 2.2362 -0.0444 1.2346
Mn 0.8806 2.0433 1.2546
Ni 6.2108 4.0328 0.0000
Ni 3.1055 2.0164 0.0000
```



Entry 4:
This record from Alexandria describes a geometry-optimized Mn2CrNi9 structure. The functional is PBE.

## Properties
Crystal system ... tetragonal
Energy of formation ... -83 kJ/mol of formula units
Spin magnetization ... 11.3 μB/f.u.

The structure in extended XYZ format:
```
12
Lattice="3.5557 0.0000 0.0000 0.0000 3.5557 0.0000 0.0000 0.0000 10.6814" Properties=species:S:1:pos:R:3 pbc="T T T"
Mn 0.0000 0.0000 3.5603
Mn 0.0000 0.0000 7.1211
Cr 0.0000 0.0000 0.0000
Ni 1.7779 1.7779 0.0000
Ni 1.7779 1.7779 3.5462
Ni 1.7779 1.7779 7.1352
Ni 1.7779 0.0000 1.7483
Ni 1.7779 0.0000 5.3407
Ni 1.7779 0.0000 8.9331
Ni 0.0000 1.7779 1.7483
Ni 0.0000 1.7779 5.3407
Ni 0.0000 1.7779 8.9331
```



Entry 5:
This record from Alexandria describes a geometry-optimized Mn2Cr2Ni structure. The functional is PBE.

## Properties
Crystal system ... tetragonal
Energy of formation ... 121 kJ/mol of formula units
Spin magnetization ... 0.0 μB/f.u.

The structure in extended XYZ format:
```
10
Lattice="-6.2889 0.5158 -1.8380 -1.7159 -4.3006 4.6642 -0.3405 2.0119 1.7298" Properties=species:S:1:pos:R:3 pbc="T T T"
Ni 0.0000 0.0000 0.0000
Ni -4.0024 -1.8924 1.4131
Mn -3.7407 -3.5133 3.3499
Mn -6.5072 -2.3082 1.4036
Mn -4.2642 -0.2715 -0.5237
Mn -1.4976 -1.4766 1.4226
Cr -2.3245 -1.7573 3.6547
Cr -5.7712 -2.2568 3.5572
Cr -6.0208 -0.0156 0.9013
Cr -2.5742 0.4839 0.9989
```



Entry 6:
This record from Alexandria describes a geometry-optimized MnCr2Ni8 structure. The functional is PBE.

## Properties
Crystal system ... monoclinic
Energy of formation ... 195 kJ/mol of formula units
Spin magnetization ... 8.3 μB/f.u.

The structure in extended XYZ format:
```
11
Lattice="4.0778 1.4544 0.0000 2.4439 6.0457 0.0000 1.2219 3.0228 6.2073" Properties=species:S:1:pos:R:3 pbc="T T T"
Mn 2.0389 0.7272 0.0000
Cr 1.2219 3.0228 2.2617
Cr 2.4439 6.0457 3.9456
Ni 3.6820 2.5543 1.7049
Ni 4.9040 5.5772 4.5024
Ni 2.2297 3.3925 0.0000
Ni 4.4828 6.7729 2.4354
Ni 3.2609 3.7501 3.7719
Ni 4.2920 4.1076 0.0000
Ni 2.8397 4.9458 1.7049
Ni 4.0616 7.9686 4.5024
```



Entry 7:
This record from Alexandria describes a geometry-optimized Mn3CrNi structure. The functional is PBE.

## Properties
Crystal system ... cubic
Energy of formation ... 539 kJ/mol of formula units
Spin magnetization ... 7.2 μB/f.u.

The structure in extended XYZ format:
```
5
Lattice="-2.6564 -3.3210 0.3923 2.3376 -2.2023 -2.8152 2.3914 -1.5363 3.1875" Properties=species:S:1:pos:R:3 pbc="T T T"
Ni 1.0363 -3.5298 0.3823
Mn 1.1688 -1.1011 -1.4076
Mn 1.1957 -0.7682 1.5938
Mn -1.3282 -1.6605 0.1961
Cr 0.0000 0.0000 0.0000
```



Entry 8:
This record from Alexandria describes a geometry-optimized MnCr3Ni structure. The functional is PBE.

## Properties
Crystal system ... cubic
Energy of formation ... 791 kJ/mol of formula units
Spin magnetization ... 5.8 μB/f.u.

The structure in extended XYZ format:
```
5
Lattice="-1.4276 -3.4852 -1.8946 3.7174 -0.4726 -1.9318 1.3846 -2.3247 3.2330" Properties=species:S:1:pos:R:3 pbc="T T T"
Ni 0.0000 0.0000 0.0000
Mn 1.8372 -3.1412 -0.2967
Cr 1.8587 -0.2363 -0.9659
Cr 0.6923 -1.1624 1.6165
Cr -0.7138 -1.7426 -0.9473
```



Entry 9:
This record from Alexandria describes a geometry-optimized MnCrNi6 structure. The functional is PBE.

## Properties
Crystal system ... tetragonal
Energy of formation ... -46 kJ/mol of formula units
Spin magnetization ... 6.2 μB/f.u.

The structure in extended XYZ format:
```
8
Lattice="-3.0905 1.0417 1.4077 -1.7511 -1.8723 -2.4588 0.0419 -5.6662 4.2848" Properties=species:S:1:pos:R:3 pbc="T T T"
Mn 0.0000 0.0000 0.0000
Cr 0.0210 -2.8331 2.1424
Ni -2.4208 -0.4153 -0.5256
Ni -2.3998 -3.2484 1.6169
Ni -1.5346 -0.9218 1.7948
Ni -1.5140 -3.7027 3.8977
Ni -0.8649 -2.3788 -0.1384
Ni -0.8443 -5.1597 1.9644
```



Entry 10:
This record from Alexandria describes a geometry-optimized MnCrNi5 structure. The functional is PBE.

## Properties
Crystal system ... orthorhombic
Energy of formation ... 124 kJ/mol of formula units
Spin magnetization ... 4.6 μB/f.u.

The structure in extended XYZ format:
```
7
Lattice="-3.5779 0.7685 2.2379 -0.8796 -0.0598 -4.1980 -0.8808 -4.8404 0.2536" Properties=species:S:1:pos:R:3 pbc="T T T"
Mn 0.0000 0.0000 0.0000
Cr -2.6692 -2.0658 -0.8532
Ni -2.8858 -0.8699 -3.0164
Ni -4.2350 -0.4558 0.2014
Ni -0.4404 -2.4202 0.1268
Ni -1.1033 -3.6759 -1.9079
Ni -2.4525 -3.2617 1.3099
```



Entry 11:
This record from Alexandria describes a geometry-optimized MnCr2Ni2 structure. The functional is PBE.

## Properties
Crystal system ... tetragonal
Energy of formation ... 145 kJ/mol of formula units
Spin magnetization ... 0.0 μB/f.u.

The structure in extended XYZ format:
```
10
Lattice="6.8175 0.0000 0.0000 0.0000 6.8175 0.0000 0.0000 0.0000 2.4717" Properties=species:S:1:pos:R:3 pbc="T T T"
Ni 2.5743 5.9830 0.0000
Ni 5.9830 4.2432 0.0000
Ni 4.2432 0.8344 0.0000
Ni 0.8344 2.5743 0.0000
Mn 0.0000 0.0000 0.0000
Mn 3.4087 3.4087 0.0000
Cr 1.2003 4.6090 1.2359
Cr 4.6090 5.6171 1.2359
Cr 5.6171 2.2084 1.2359
Cr 2.2084 1.2003 1.2359
```



Entry 12:
This record from Alexandria describes a geometry-optimized MnCr3Ni structure. The functional is PBE.

## Properties
Crystal system ... cubic
Energy of formation ... 589 kJ/mol of formula units
Spin magnetization ... 0.0 μB/f.u.

The structure in extended XYZ format:
```
5
Lattice="4.1325 0.0000 0.0000 0.0000 4.1325 0.0000 0.0000 0.0000 4.1325" Properties=species:S:1:pos:R:3 pbc="T T T"
Ni 2.0663 2.0663 2.0663
Mn 0.0000 0.0000 0.0000
Cr 0.0000 2.0663 0.0000
Cr 0.0000 0.0000 2.0663
Cr 2.0663 0.0000 0.0000
```



- Which formula does entry 3 have?
  MnCrNi2